DFT (PBE-GGA) results for crystalline Pm6Os2SBr3 at its relaxed geometry.

Computed properties:
Its crystal system is monoclinic. As for the formation energy from raw total energies: -1194.2 kJ/mol of formula units. Its space-group type is C2/m, No. 12. The energy is -6.04 eV per atom.

Cell: 7.1884 7.1884 7.9940 Å, 98.61 98.61 119.99°
Fractional coordinates of all 12 atoms:
Pm  0.0877  0.4349  0.8026
Pm  0.2177  0.2177  0.1965
Pm  0.4349  0.0877  0.8026
Pm  0.5651  0.9123  0.1974
Pm  0.7823  0.7823  0.8036
Pm  0.9123  0.5651  0.1974
Os  0.1670  0.8330  0.0000
Os  0.8330  0.1670  0.0000
S  0.5000  0.5000  0.0000
Br  0.0000  0.0000  0.5000
Br  0.3358  0.6642  0.5000
Br  0.6642  0.3358  0.5000

DFT (PBE-GGA) results for crystalline Dy4SbTe2Pt at its relaxed geometry.

Computed properties:
Its crystal system is monoclinic. As for the formation energy from raw total energies: -949.8 kJ/mol of formula units. Its space-group type is P2/m, No. 10. The energy is -5.59 eV per atom.

Cell: 7.4800 4.2478 7.6305 Å, 90.00 108.94 90.00°
Fractional coordinates of all 8 atoms:
Dy  0.2172  0.0000  0.2144
Dy  0.2426  0.5000  0.7667
Dy  0.7574  0.5000  0.2333
Dy  0.7828  0.0000  0.7856
Sb  0.5000  0.0000  0.0000
Te  0.0000  0.0000  0.5000
Te  0.5000  0.5000  0.5000
Pt  0.0000  0.5000  0.0000

DFT (PBE-GGA) results for crystalline Dy4ThZn at its relaxed geometry.

Computed properties:
Its crystal system is tetragonal. The formation energy from the elements is -96.6 meV per atom. Its space-group type is P4/mmm, No. 123. The energy is -4.61 eV per atom.

Cell: 3.5753 3.5753 13.5778 Å, 90.00 90.00 90.00°
Fractional coordinates of all 6 atoms:
Dy  0.0000  0.0000  0.1285
Dy  0.0000  0.0000  0.8715
Dy  0.5000  0.5000  0.3217
Dy  0.5000  0.5000  0.6783
Th  0.0000  0.0000  0.5000
Zn  0.5000  0.5000  0.0000